Record 1
# NaPuBi

An optimized crystal structure of NaPuBi (PBE, Alexandria).

a = 4.2647 Å, b = 4.2647 Å, c = 5.7965 Å
α = 111.58°, β = 111.58°, γ = 90.00°
Closest atoms and distances in Å follow each position.
Positions (direct):
Na 0.6119 0.6119 0.2238  5 Pu 3.15-3.51, 5 Bi 3.29-3.44
Bi 0.9447 0.9447 0.8893  5 Na 3.29-3.44, 5 Pu 3.37-3.45
Pu 0.2934 0.2934 0.5868  5 Na 3.15-3.51, 5 Bi 3.37-3.45

The calculation puts the energy relative to the elements at -0.0422 eV/atom. The total moment comes out at 6.01 μB/cell.

=====

Record 2
# BaTc2Pt

An optimized crystal structure of BaTc2Pt (PBE, Alexandria).

a = 4.2656 Å, b = 4.2656 Å, c = 6.7075 Å
α = 71.45°, β = 71.45°, γ = 60.30°
Closest atoms and distances in Å follow each position.
Positions (direct):
Ba 0.5021 0.5021 0.4954  3 Pt 3.36, 7 Tc 3.54-3.74
Pt 0.2897 0.2897 0.1306  6 Tc 2.72-2.78
Tc 0.0176 0.0176 0.9461  3 Tc 2.46-2.47, 3 Pt 2.72
Tc 0.6905 0.6905 0.9280  3 Tc 2.46-2.47

The calculation puts the energy relative to the elements at 0.1947 eV/atom. The calculation puts the offset from the most stable computed form at 0.00 kJ per mole of atoms. The total moment comes out at 0.00 μB/cell.

=====

Record 3
# PaGe2Mo

An optimized crystal structure of PaGe2Mo (PBE, Alexandria).

a = 3.0087 Å, b = 3.0087 Å, c = 10.2533 Å
α = 81.56°, β = 81.56°, γ = 60.00°
Closest atoms and distances in Å follow each position.
Positions (direct):
Mo 0.5000 0.5000 0.5000  6 Ge 2.69, 6 Mo 3.01
Pa 0.0000 0.0000 0.0000  2 Ge 2.99, 6 Pa 3.01
Ge 0.0988 0.0988 0.7037  3 Mo 2.69, 1 Pa 2.99, 6 Ge 3.01
Ge 0.9012 0.9012 0.2963  3 Mo 2.69, 1 Pa 2.99, 6 Ge 3.01

The calculation puts the energy relative to the elements at 0.1880 eV/atom. The calculation puts the offset from the most stable computed form at 49.16 kJ per mole of atoms. The total moment comes out at 0.00 μB/cell.

=====

Record 4
# Pm3Ga2Co

An optimized crystal structure of Pm3Ga2Co (PBE, Alexandria).

a = 4.1265 Å, b = 11.8074 Å, c = 12.0460 Å
α = 90.00°, β = 90.00°, γ = 90.00°
Closest atoms and distances in Å follow each position.
Positions (direct):
Pm 0.2500 0.3716 0.0453  5 Ga 3.01-3.24, 1 Co 3.14
Pm 0.7500 0.6284 0.9547  5 Ga 3.01-3.24, 1 Co 3.14
Pm 0.7500 0.8716 0.4547  5 Ga 3.01-3.24, 1 Co 3.14
Pm 0.2500 0.1284 0.5453  5 Ga 3.01-3.24, 1 Co 3.14
Pm 0.2500 0.7059 0.2319  2 Co 2.83, 1 Ga 3.04
Pm 0.7500 0.2941 0.7681  2 Co 2.83, 1 Ga 3.04
Pm 0.7500 0.2059 0.2681  2 Co 2.83, 1 Ga 3.04
Pm 0.2500 0.7941 0.7319  2 Co 2.83, 1 Ga 3.04
Pm 0.2500 0.4479 0.3839  3 Co 2.90-3.09, 5 Ga 3.07-3.15
Pm 0.7500 0.5521 0.6161  3 Co 2.90-3.09, 5 Ga 3.07-3.15
Pm 0.7500 0.9479 0.1161  3 Co 2.90-3.09, 5 Ga 3.07-3.15
Pm 0.2500 0.0521 0.8839  3 Co 2.90-3.09, 5 Ga 3.07-3.15
Ga 0.2500 0.6882 0.4833  2 Co 2.61
Ga 0.7500 0.3118 0.5167  2 Co 2.61
Ga 0.7500 0.1882 0.0167  2 Co 2.61
Ga 0.2500 0.8118 0.9833  2 Co 2.61
Ga 0.2500 0.0027 0.3059  1 Co 2.52
Ga 0.7500 0.9973 0.6941  1 Co 2.52
Ga 0.7500 0.5027 0.1941  1 Co 2.52
Ga 0.2500 0.4973 0.8059  1 Co 2.52
Co 0.2500 0.1203 0.1311  3 Ga 2.52-2.61
Co 0.7500 0.8797 0.8689  3 Ga 2.52-2.61
Co 0.7500 0.6203 0.3689  3 Ga 2.52-2.61
Co 0.2500 0.3797 0.6311  3 Ga 2.52-2.61

The calculation puts the energy relative to the elements at -0.4362 eV/atom. The calculation puts the offset from the most stable computed form at 0.00 kJ per mole of atoms. The total moment comes out at 0.00 μB/cell.

=====

Record 5
# La3CePm2Se6

An optimized crystal structure of La3CePm2Se6 (PBE, Alexandria).

a = 7.3740 Å, b = 7.3740 Å, c = 7.3845 Å
α = 99.60°, β = 99.60°, γ = 120.10°
Closest atoms and distances in Å follow each position.
Positions (direct):
La 0.1676 0.8324 0.5000  6 Se 3.04-3.05
La 0.8324 0.1676 0.5000  6 Se 3.04-3.05
La 0.5000 0.5000 0.5000  6 Se 3.04
Ce 0.0000 0.0000 0.0000  6 Se 2.98
Pm 0.3332 0.6668 0.0000  6 Se 2.98
Pm 0.6668 0.3332 0.0000  6 Se 2.98
Se 0.9194 0.5862 0.7580  1 Ce 2.98, 2 Pm 2.98, 3 La 3.04
Se 0.7476 0.7476 0.2429  1 Ce 2.98, 2 Pm 2.98, 3 La 3.04-3.05
Se 0.0806 0.4138 0.2420  1 Ce 2.98, 2 Pm 2.98, 3 La 3.04
Se 0.5862 0.9194 0.7580  1 Ce 2.98, 2 Pm 2.98, 3 La 3.04
Se 0.2524 0.2524 0.7571  1 Ce 2.98, 2 Pm 2.98, 3 La 3.04-3.05
Se 0.4138 0.0806 0.2420  1 Ce 2.98, 2 Pm 2.98, 3 La 3.04

For the energy relative to the elements, uncorrected, the calculation gives -1919 meV/atom. The total moment comes out at 0.95 μB/cell.

=====

Record 6
# Pm2PaGe3Ir4

An optimized crystal structure of Pm2PaGe3Ir4 (PBE, Alexandria).

a = 4.2640 Å, b = 4.2640 Å, c = 11.0323 Å
α = 90.00°, β = 90.00°, γ = 90.00°
Closest atoms and distances in Å follow each position.
Positions (direct):
Pm 0.5000 0.0000 0.2227  4 Ge 3.21, 8 Ir 3.25-3.32
Pm 0.0000 0.5000 0.7773  4 Ge 3.21, 8 Ir 3.25-3.32
Pa 0.5000 0.5000 0.5000  4 Ir 2.70, 4 Ge 3.02
Ge 0.0000 0.0000 0.5000  4 Ir 2.70, 4 Pa 3.02
Ge 0.5000 0.0000 0.8759  5 Ir 2.49-2.53
Ge 0.0000 0.5000 0.1241  5 Ir 2.49-2.53
Ir 0.5000 0.5000 0.0000  4 Ge 2.53
Ir 0.0000 0.0000 0.0000  4 Ge 2.53
Ir 0.5000 0.0000 0.6506  3 Ge 2.49-2.70, 2 Pa 2.70
Ir 0.0000 0.5000 0.3494  3 Ge 2.49-2.70, 2 Pa 2.70

The calculation puts the energy relative to the elements at -0.7748 eV/atom. The total moment comes out at 0.00 μB/cell.

=====

Record 7
# Er2CdC

An optimized crystal structure of Er2CdC (PBE, Alexandria).

a = 3.4982 Å, b = 3.4982 Å, c = 8.2706 Å
α = 90.00°, β = 90.00°, γ = 120.02°
Closest atoms and distances in Å follow each position.
Positions (direct):
Er 0.4667 0.5333 0.3268  3 C 2.48
Er 0.4667 0.5333 0.6732  3 C 2.48
Cd 0.7994 0.2006 0.0000  6 Er 3.37, 6 Cd 3.50
C 0.1333 0.8667 0.5000  6 Er 2.48

The calculation puts the energy relative to the elements at -0.0814 eV/atom. The total moment comes out at 0.05 μB/cell.

=====

Record 8
# PmAlInPd

An optimized crystal structure of PmAlInPd (PBE, Alexandria).

a = 4.9184 Å, b = 4.9184 Å, c = 4.9184 Å
α = 60.00°, β = 60.00°, γ = 60.00°
Closest atoms and distances in Å follow each position.
Positions (direct):
In 0.2500 0.2500 0.2500  4 Al 3.01, 4 Pd 3.01
Al 0.5000 0.5000 0.5000  4 In 3.01, 4 Pm 3.01
Pd 0.0000 0.0000 0.0000  4 In 3.01, 4 Pm 3.01
Pm 0.7500 0.7500 0.7500  4 Al 3.01, 4 Pd 3.01

The calculation puts the energy relative to the elements at -0.5058 eV/atom. The total moment comes out at 0.00 μB/cell.

=====

- The highest total moment belongs to which entry?
  NaPuBi

=====

- Which of these has the highest total moment?
  NaPuBi